[1]
Material: YMgMo2
Method: DFT, PBE-GGA
State: relaxed

abc: 2.794 4.658 6.066
angles: 90.00 90.00 90.00
Element x y z (fractional)
Mo 0.000 0.000 0.543
Mo 0.000 0.000 0.957
Y 0.500 0.500 0.250
Mg 0.500 0.500 0.750

Summary:
E in eV per atom: -6.92
D(E_F) in states/eV/f.u.: 4.0
Volume in Å³ per atom: 19.74
Formation energy from the elements in eV/atom: 0.515


[2]
Material: TbGdPuSn
Method: DFT, PBE-GGA
State: relaxed

abc: 5.373 5.373 5.373
angles: 60.00 60.00 60.00
Site moments in Bohr magnetons follow the coordinates.
Element x y z (fractional)
Gd 0.000 0.000 0.000  -6.91
Sn 0.250 0.250 0.250  -0.05
Pu 0.750 0.750 0.750  5.58
Tb 0.500 0.500 0.500  0.18

Summary:
E in eV per atom: -9.44
D(E_F) in states/eV/f.u.: 16.0
Volume in Å³ per atom: 27.42
Formation energy from the elements in eV/atom: -0.177


[3]
Material: ClF
Method: DFT, PBE-GGA
State: relaxed

abc: 6.981 6.981 6.981
angles: 90.00 90.00 90.00
Site moments in Bohr magnetons follow the coordinates.
Element x y z (fractional)
F 0.500 0.250 0.000  0.67
F 0.250 0.000 0.500  0.67
F 0.500 0.750 0.000  0.67
F 0.000 0.500 0.750  0.67
F 0.750 0.000 0.500  0.67
F 0.000 0.500 0.250  0.67
Cl 0.500 0.000 0.250  1.03
Cl 0.250 0.500 0.000  1.03
Cl 0.000 0.750 0.500  1.03
Cl 0.750 0.500 0.000  1.03
Cl 0.000 0.250 0.500  1.03
Cl 0.500 0.000 0.750  1.03

Summary:
Excess energy over the best structure of this formula in the dataset in eV/f.u.: 1.77
E in eV per atom: -1.38
D(E_F) in states/eV/f.u.: 1.4
Volume in Å³ per atom: 28.35
Raw formation energy in eV/atom: 0.48


[4]
Material: ErBBr
Method: DFT, PBE-GGA
State: relaxed

abc: 4.037 4.037 9.957
angles: 85.39 85.39 75.00
Element x y z (fractional)
Br 0.230 0.230 0.684
Br 0.770 0.770 0.316
Er 0.842 0.842 0.855
Er 0.158 0.158 0.145
B 0.347 0.653 0.000
B 0.653 0.347 0.000

Summary:
E in eV per atom: -5.07
D(E_F) in states/eV/f.u.: 0.6
Volume in Å³ per atom: 25.98
Raw formation energy in eV/atom: -0.77


[5]
Material: Rb5Au2ClO
Method: DFT, PBE-GGA
State: relaxed

abc: 5.423 7.874 9.654
angles: 114.07 106.31 90.00
Element x y z (fractional)
Au 0.208 0.208 0.416
Au 0.792 0.792 0.584
Rb 0.617 0.362 0.235
Rb 0.617 0.873 0.235
Rb 0.383 0.638 0.765
Rb 0.383 0.127 0.765
Rb 0.000 0.000 0.000
Cl 0.000 0.500 0.000
O 0.500 0.000 0.000

Summary:
E in eV per atom: -2.86
Volume in Å³ per atom: 39.80
Raw formation energy in eV/atom: -0.84


[6]
Material: SrTa2Cd
Method: DFT, PBE-GGA
State: relaxed

abc: 2.922 2.922 10.376
angles: 90.00 90.00 90.00
Element x y z (fractional)
Ta 0.000 0.000 0.472
Ta 0.000 0.000 0.028
Sr 0.500 0.500 0.750
Cd 0.500 0.500 0.250

Summary:
E in eV per atom: -5.79
D(E_F) in states/eV/f.u.: 5.0
Volume in Å³ per atom: 22.15
Formation energy from the elements in eV/atom: 0.787


[7]
Material: Y4Au5
Method: DFT, PBE-GGA
State: relaxed

abc: 8.751 8.751 6.360
angles: 90.00 90.00 60.00
Element x y z (fractional)
Y 0.374 0.000 0.250
Y 0.000 0.000 0.500
Y 0.000 0.374 0.750
Y 0.000 0.000 0.000
Y 0.626 0.374 0.250
Y 0.000 0.626 0.250
Y 0.374 0.626 0.750
Y 0.626 0.000 0.750
Au 0.292 0.708 0.250
Au 0.333 0.333 0.500
Au 0.000 0.292 0.250
Au 0.708 0.292 0.750
Au 0.292 0.000 0.750
Au 0.667 0.667 0.500
Au 0.708 0.000 0.250
Au 0.000 0.708 0.750
Au 0.667 0.667 0.000
Au 0.333 0.333 0.000

Summary:
Excess energy over the best structure of this formula in the dataset in eV/f.u.: 0.00
E in eV per atom: -5.43
D(E_F) in states/eV/f.u.: 6.7
Volume in Å³ per atom: 23.43
Formation energy from the elements in eV/atom: -0.741


[8]
Material: RbU2F9
Method: DFT, PBE-GGA
State: relaxed

abc: 7.104 8.799 11.792
angles: 90.00 90.00 90.00
Site moments in Bohr magnetons follow the coordinates.
Element x y z (fractional)
Rb 0.862 0.965 0.250  0.00
Rb 0.362 0.535 0.750  0.00
Rb 0.138 0.035 0.750  0.00
Rb 0.638 0.465 0.250  0.00
U 0.852 0.677 0.552  1.99
U 0.352 0.823 0.448  1.99
U 0.148 0.323 0.052  1.99
U 0.148 0.323 0.448  1.99
U 0.648 0.177 0.948  1.99
U 0.648 0.177 0.552  1.99
U 0.352 0.823 0.052  1.99
U 0.852 0.677 0.948  1.99
F 0.570 0.006 0.403  -0.01
F 0.806 0.932 0.577  -0.01
F 0.806 0.932 0.923  -0.01
F 0.930 0.506 0.403  -0.01
F 0.465 0.288 0.092  -0.01
F 0.535 0.712 0.592  -0.01
F 0.153 0.780 0.896  -0.01
F 0.035 0.788 0.092  -0.01
F 0.842 0.675 0.750  -0.01
F 0.535 0.712 0.908  -0.01
F 0.035 0.788 0.408  -0.01
F 0.194 0.068 0.423  -0.01
F 0.465 0.288 0.408  -0.01
F 0.306 0.568 0.077  -0.01
F 0.153 0.780 0.604  -0.01
F 0.570 0.006 0.097  -0.01
F 0.930 0.506 0.097  -0.01
F 0.347 0.280 0.896  -0.01
F 0.430 0.994 0.903  -0.01
F 0.342 0.825 0.250  -0.01
F 0.653 0.720 0.396  -0.01
F 0.847 0.220 0.104  -0.01
F 0.430 0.994 0.597  -0.01
F 0.653 0.720 0.104  -0.01
F 0.694 0.432 0.577  -0.01
F 0.965 0.212 0.908  -0.01
F 0.694 0.432 0.923  -0.01
F 0.194 0.068 0.077  -0.01
F 0.965 0.212 0.592  -0.01
F 0.306 0.568 0.423  -0.01
F 0.847 0.220 0.396  -0.01
F 0.070 0.494 0.597  -0.01
F 0.658 0.175 0.750  -0.01
F 0.070 0.494 0.903  -0.01
F 0.158 0.325 0.250  -0.01
F 0.347 0.280 0.604  -0.01

Summary:
Excess energy over the best structure of this formula in the dataset in eV/f.u.: 0.00
E in eV per atom: -6.87
D(E_F) in states/eV/f.u.: 10.1
Volume in Å³ per atom: 15.36
Raw formation energy in eV/atom: -3.51